Entry from the Alexandria database: a relaxed AcZnSi crystal (GGA-PBE).

Properties
As for the energy: -3.737 eV per atom. As for the energy above the most stable polymorph in this dataset: 428 meV per atom. The uncorrected formation energy is -0.135 eV/atom. As for the space-group type: P3_2, No. 145.

Cell lengths 5.5053, 5.5053, 9.0173 Å; angles 90.00, 90.00, 120.00 degrees
With the nearest neighbours (Å) after each atom.
Element x y z (fractional)
1 Si 0.9983 0.6566 0.6372  1 Zn 2.44
2 Si 0.6583 0.0017 0.9706  1 Zn 2.44
3 Si 0.3434 0.3417 0.3039  1 Zn 2.44
4 Ac 0.6738 0.0062 0.3294  4 Si 3.18-3.24, 4 Zn 3.19-3.34
5 Ac 0.9938 0.6676 0.9961  4 Si 3.18-3.24, 4 Zn 3.19-3.34
6 Ac 0.3324 0.3262 0.6628  4 Si 3.18-3.24, 4 Zn 3.19-3.34
7 Zn 0.0066 0.6722 0.3666  1 Si 2.44
8 Zn 0.6656 0.9934 0.7000  1 Si 2.44
9 Zn 0.3278 0.3344 0.0333  1 Si 2.44


Entry from the Alexandria database: a relaxed AcZn2Si crystal (GGA-PBE).

Properties
As for the energy: -3.272 eV per atom. As for the energy above the most stable polymorph in this dataset: 67 meV per atom. The uncorrected formation energy is -0.252 eV/atom. As for the space-group type: R-3m, No. 166.

Cell lengths 4.3016, 4.3016, 6.1189 Å; angles 69.42, 69.42, 60.00 degrees
With the nearest neighbours (Å) after each atom.
Element x y z (fractional)
1 Ac 0.0000 0.0000 0.0000  8 Zn 3.21-3.56
2 Si 0.5000 0.5000 0.5000  6 Zn 2.60
3 Zn 0.7878 0.7878 0.6366  3 Si 2.60
4 Zn 0.2122 0.2122 0.3634  3 Si 2.60


Entry from the Alexandria database: a relaxed Ac5ZnSi2 crystal (GGA-PBE).

Properties
As for the energy: -4.435 eV per atom. The uncorrected formation energy is -0.353 eV/atom. As for the space-group type: I4/mcm, No. 140.

Cell lengths 8.1525, 8.1525, 9.8233 Å; angles 114.52, 114.52, 90.00 degrees
With the nearest neighbours (Å) after each atom.
Element x y z (fractional)
1 Ac 0.5350 0.6811 0.7162  3 Si 3.30-3.34, 2 Zn 3.46
2 Ac 0.8189 0.9650 0.2838  3 Si 3.30-3.34, 2 Zn 3.46
3 Ac 0.0000 0.0000 0.0000  4 Si 3.30
4 Ac 0.5000 0.5000 0.0000  4 Si 3.30
5 Ac 0.1811 0.0350 0.7162  3 Si 3.30-3.34, 2 Zn 3.46
6 Ac 0.6811 0.1811 0.7162  3 Si 3.30-3.34, 2 Zn 3.46
7 Ac 0.0350 0.5350 0.7162  3 Si 3.30-3.34, 2 Zn 3.46
8 Ac 0.3189 0.8189 0.2838  3 Si 3.30-3.34, 2 Zn 3.46
9 Ac 0.9650 0.4650 0.2838  3 Si 3.30-3.34, 2 Zn 3.46
10 Ac 0.4650 0.3189 0.2838  3 Si 3.30-3.34, 2 Zn 3.46
11 Zn 0.7500 0.7500 0.5000  8 Ac 3.46
12 Zn 0.2500 0.2500 0.5000  8 Ac 3.46
13 Si 0.1098 0.3902 0.0000  1 Si 2.53
14 Si 0.6098 0.1098 0.0000  1 Si 2.53
15 Si 0.3902 0.8902 0.0000  1 Si 2.53
16 Si 0.8902 0.6098 0.0000  1 Si 2.53


Entry from the Alexandria database: a relaxed Ac2ZnSi3 crystal (GGA-PBE).

Properties
As for the energy: -4.882 eV per atom. As for the energy above the most stable polymorph in this dataset: 6 meV per atom. The uncorrected formation energy is -0.589 eV/atom. As for the space-group type: Pmm2, No. 25.

Cell lengths 4.6728, 4.2326, 7.2221 Å; angles 90.00, 90.00, 90.00 degrees
With the nearest neighbours (Å) after each atom.
Element x y z (fractional)
1 Ac 0.0000 0.5000 0.9952  10 Si 3.32-3.38, 2 Zn 3.36
2 Ac 0.0000 0.0000 0.5063  8 Si 3.33-3.39, 4 Zn 3.40
3 Zn 0.5000 0.5000 0.3301  3 Si 2.43-2.44
4 Si 0.5000 0.0000 0.8343  3 Si 2.39-2.43
5 Si 0.5000 0.0000 0.1659  1 Si 2.39, 2 Zn 2.43
6 Si 0.5000 0.5000 0.6682  2 Si 2.43, 1 Zn 2.44


Entry from the Alexandria database: a relaxed AcZn2Si crystal (GGA-PBE).

Properties
As for the energy: -3.013 eV per atom. As for the energy above the most stable polymorph in this dataset: 326 meV per atom. The uncorrected formation energy is 0.007 eV/atom. As for the space-group type: P4/mmm, No. 123.

Cell lengths 3.5863, 3.5863, 6.8589 Å; angles 90.00, 90.00, 90.00 degrees
With the nearest neighbours (Å) after each atom.
Element x y z (fractional)
1 Ac 0.5000 0.5000 0.5000  8 Zn 3.33, 2 Si 3.43, 4 Ac 3.59
2 Si 0.5000 0.5000 0.0000  8 Zn 2.84
3 Zn 0.0000 0.0000 0.8138  1 Zn 2.55, 4 Si 2.84
4 Zn 0.0000 0.0000 0.1862  1 Zn 2.55, 4 Si 2.84


Entry from the Alexandria database: a relaxed Ac2Zn2Si3 crystal (GGA-PBE).

Properties
As for the energy: -4.288 eV per atom. The uncorrected formation energy is -0.426 eV/atom. As for the space-group type: Cmcm, No. 63.

Cell lengths 4.5631, 7.1104, 9.9753 Å; angles 90.00, 103.22, 90.00 degrees
With the nearest neighbours (Å) after each atom.
Element x y z (fractional)
1 Ac 0.1650 0.2500 0.3299  6 Zn 3.23-3.37, 6 Si 3.29-3.33
2 Ac 0.8350 0.7500 0.6701  6 Zn 3.23-3.37, 6 Si 3.29-3.33
3 Ac 0.9515 0.2500 0.9029  9 Si 3.19-3.29
4 Ac 0.0485 0.7500 0.0971  9 Si 3.19-3.29
5 Zn 0.6743 0.9295 0.3485  3 Si 2.52-2.72, 1 Zn 2.55
6 Zn 0.3257 0.0705 0.6515  3 Si 2.52-2.72, 1 Zn 2.55
7 Zn 0.3257 0.4295 0.6515  3 Si 2.52-2.72, 1 Zn 2.55
8 Zn 0.6743 0.5705 0.3485  3 Si 2.52-2.72, 1 Zn 2.55
9 Si 0.2128 0.7500 0.4256  4 Zn 2.72
10 Si 0.7872 0.2500 0.5744  4 Zn 2.72
11 Si 0.5568 0.4192 0.1136  2 Si 2.41-2.49, 1 Zn 2.52
12 Si 0.4432 0.5808 0.8864  2 Si 2.41-2.49, 1 Zn 2.52
13 Si 0.4432 0.9192 0.8864  2 Si 2.41-2.49, 1 Zn 2.52
14 Si 0.5568 0.0808 0.1136  2 Si 2.41-2.49, 1 Zn 2.52


Entry from the Alexandria database: a relaxed AcZn3Si2 crystal (GGA-PBE).

Properties
As for the energy: -3.379 eV per atom. The uncorrected formation energy is -0.249 eV/atom. As for the space-group type: C2/m, No. 12.

Cell lengths 4.3001, 8.2933, 7.5372 Å; angles 113.95, 90.00, 105.03 degrees
With the nearest neighbours (Å) after each atom.
Element x y z (fractional)
1 Ac 0.8496 0.6992 0.9267  7 Si 3.28-3.39, 8 Zn 3.31-3.52
2 Ac 0.1504 0.3008 0.0733  7 Si 3.28-3.39, 8 Zn 3.31-3.52
3 Zn 0.3207 0.6415 0.5579  4 Si 2.54-2.69, 1 Zn 2.68
4 Zn 0.9639 0.9278 0.6282  3 Si 2.53-2.57, 1 Zn 2.64
5 Zn 0.6119 0.2238 0.7132  3 Si 2.52-2.59, 1 Zn 2.68
6 Zn 0.3881 0.7762 0.2868  3 Si 2.52-2.59, 1 Zn 2.68
7 Zn 0.0361 0.0722 0.3718  3 Si 2.53-2.57, 1 Zn 2.64
8 Zn 0.6793 0.3585 0.4421  4 Si 2.54-2.69, 1 Zn 2.68
9 Si 0.4852 0.9704 0.8289  1 Si 2.42, 4 Zn 2.52-2.57
10 Si 0.5148 0.0296 0.1711  1 Si 2.42, 4 Zn 2.52-2.57
11 Si 0.8095 0.6189 0.3341  6 Zn 2.53-2.69
12 Si 0.1905 0.3811 0.6659  6 Zn 2.53-2.69


Entry from the Alexandria database: a relaxed Ac2Zn3Si2 crystal (GGA-PBE).

Properties
As for the energy: -3.500 eV per atom. The uncorrected formation energy is -0.230 eV/atom. As for the space-group type: Cmmm, No. 65.

Cell lengths 4.2272, 3.9408, 10.7724 Å; angles 100.54, 90.00, 90.00 degrees
With the nearest neighbours (Å) after each atom.
Element x y z (fractional)
1 Ac 0.0000 0.8406 0.6813  6 Si 3.15-3.34, 1 Zn 3.38
2 Ac 0.0000 0.1594 0.3187  6 Si 3.15-3.34, 1 Zn 3.38
3 Zn 0.5000 0.5605 0.1209  1 Zn 2.56
4 Zn 0.5000 0.4395 0.8791  1 Zn 2.56
5 Zn 0.0000 0.0000 0.0000  8 Zn 3.16, 2 Ac 3.38
6 Si 0.5000 0.7187 0.4374  2 Si 2.38
7 Si 0.5000 0.2813 0.5626  2 Si 2.38


Entry from the Alexandria database: a relaxed AcZn4Si3 crystal (GGA-PBE).

Properties
As for the energy: -3.403 eV per atom. The uncorrected formation energy is -0.219 eV/atom. As for the space-group type: P4/mmm, No. 123.

Cell lengths 4.4696, 4.4696, 7.5599 Å; angles 90.00, 90.00, 90.00 degrees
With the nearest neighbours (Å) after each atom.
Element x y z (fractional)
1 Ac 0.0000 0.0000 0.5000  8 Zn 3.33, 8 Si 3.38
2 Si 0.0000 0.0000 0.0000  8 Zn 2.59
3 Si 0.5000 0.5000 0.3426  1 Si 2.38, 4 Zn 2.58
4 Si 0.5000 0.5000 0.6574  1 Si 2.38, 4 Zn 2.58
5 Zn 0.5000 0.0000 0.1732  4 Si 2.58-2.59, 1 Zn 2.62
6 Zn 0.0000 0.5000 0.1732  4 Si 2.58-2.59, 1 Zn 2.62
7 Zn 0.5000 0.0000 0.8268  4 Si 2.58-2.59, 1 Zn 2.62
8 Zn 0.0000 0.5000 0.8268  4 Si 2.58-2.59, 1 Zn 2.62


Entry from the Alexandria database: a relaxed Ac2Zn7Si crystal (GGA-PBE).

Properties
As for the energy: -2.570 eV per atom. The uncorrected formation energy is -0.314 eV/atom. As for the space-group type: P-4m2, No. 115.

Cell lengths 4.4568, 4.4568, 10.4442 Å; angles 90.00, 90.00, 90.00 degrees
With the nearest neighbours (Å) after each atom.
Element x y z (fractional)
1 Ac 0.5000 0.0000 0.7530  14 Zn 3.39-3.46, 2 Si 3.41
2 Ac 0.0000 0.5000 0.2470  14 Zn 3.39-3.46, 2 Si 3.41
3 Zn 0.0000 0.5000 0.8739  3 Zn 2.56-2.59, 2 Si 2.59
4 Zn 0.5000 0.0000 0.3716  5 Zn 2.56-2.60
5 Zn 0.5000 0.0000 0.1261  3 Zn 2.56-2.59, 2 Si 2.59
6 Zn 0.0000 0.5000 0.6284  5 Zn 2.56-2.60
7 Zn 0.0000 0.0000 0.5000  4 Zn 2.60
8 Zn 0.0000 0.0000 0.0000  4 Zn 2.59
9 Zn 0.5000 0.5000 0.5000  4 Zn 2.60
10 Si 0.5000 0.5000 0.0000  4 Zn 2.59